The following is a PBE with a Hubbard U calculation of V2Pb14Cl4O17 after structural relaxation, from the Alexandria database.

a = 13.370 Å, b = 13.370 Å, c = 11.511 Å
α = 76.94°, β = 76.94°, γ = 122.31°
Element x y z (fractional)
1 O 0.343 0.637 0.046
2 O 0.095 0.377 0.885
3 O 0.530 0.821 0.172
4 O 0.114 0.610 0.181
5 O 0.644 0.356 0.250
6 O 0.356 0.644 0.750
7 O 0.610 0.114 0.681
8 O 0.470 0.179 0.828
9 O 0.363 0.657 0.454
10 O 0.144 0.856 0.250
11 O 0.390 0.886 0.319
12 O 0.179 0.470 0.328
13 O 0.657 0.363 0.954
14 O 0.388 0.115 0.121
15 O 0.903 0.600 0.862
16 O 0.887 0.167 0.486
17 O 0.821 0.530 0.672
18 O 0.905 0.623 0.115
19 O 0.097 0.400 0.138
20 O 0.612 0.885 0.879
21 O 0.833 0.113 0.014
22 O 0.131 0.869 0.750
23 O 0.115 0.388 0.621
24 O 0.600 0.903 0.362
25 O 0.113 0.833 0.514
26 O 0.637 0.343 0.546
27 O 0.856 0.144 0.750
28 O 0.167 0.887 0.986
29 O 0.400 0.097 0.638
30 O 0.886 0.390 0.819
31 O 0.623 0.905 0.615
32 O 0.377 0.095 0.385
33 O 0.869 0.131 0.250
34 O 0.885 0.612 0.379
35 Pb 0.547 0.708 0.047
36 Pb 0.457 0.284 0.421
37 Pb 0.040 0.201 0.307
38 Pb 0.069 0.681 0.426
39 Pb 0.546 0.160 0.201
40 Pb 0.198 0.029 0.319
41 Pb 0.931 0.319 0.574
42 Pb 0.160 0.546 0.701
43 Pb 0.029 0.198 0.819
44 Pb 0.292 0.453 0.453
45 Pb 0.971 0.802 0.181
46 Pb 0.089 0.706 0.939
47 Pb 0.708 0.547 0.547
48 Pb 0.960 0.799 0.693
49 Pb 0.706 0.089 0.439
50 Pb 0.840 0.454 0.299
51 Pb 0.681 0.069 0.926
52 Pb 0.543 0.716 0.579
53 Pb 0.454 0.840 0.799
54 Pb 0.799 0.960 0.193
55 Pb 0.716 0.543 0.079
56 Pb 0.453 0.292 0.953
57 Pb 0.802 0.971 0.681
58 Pb 0.284 0.457 0.921
59 Pb 0.201 0.040 0.807
60 Pb 0.319 0.931 0.074
61 Pb 0.294 0.911 0.561
62 Pb 0.911 0.294 0.061
63 V 0.466 0.815 0.325
64 V 0.815 0.466 0.825
65 V 0.534 0.185 0.675
66 V 0.185 0.534 0.175
67 Cl 0.872 0.878 0.436
68 Cl 0.362 0.396 0.694
69 Cl 0.396 0.362 0.194
70 Cl 0.122 0.128 0.064
71 Cl 0.878 0.872 0.936
72 Cl 0.604 0.638 0.806
73 Cl 0.638 0.604 0.306
74 Cl 0.128 0.122 0.564

Results
The space group is No. 15. As for the total energy: -5.64 eV/atom.